No. 1
CrIr2Os: optimized geometry, PBE.

Cell: 3.754 3.754 9.183 Å, 78.21 78.21 90.00°
Fractional positions:
Ir1 0.375 0.382 0.750
Ir2 0.875 0.868 0.750
Ir3 0.132 0.625 0.250
Ir4 0.618 0.125 0.250
Os1 0.750 0.250 0.500
Os2 0.000 0.000 0.000
Cr1 0.500 0.500 0.000
Cr2 0.250 0.750 0.500

Its volume is 15.48 Å³ per atom. The value obtained for the density is 16804 kg/m3. The energy comes out at -9.109 eV/atom. For the formation energy, the calculation gives 0.5343 eV per atom.

---

No. 2
Cr4Ir7Os: optimized geometry, PBE.

Cell: 5.067 8.703 4.899 Å, 75.13 84.61 54.13°
Fractional positions:
Cr1 0.554 0.275 0.640
Cr2 0.648 0.710 0.812
Cr3 0.352 0.290 0.188
Cr4 0.446 0.725 0.360
Ir1 0.031 0.632 0.293
Ir2 0.725 0.416 0.202
Ir3 0.500 0.000 0.000
Ir4 0.275 0.584 0.798
Ir5 0.800 0.948 0.516
Ir6 0.200 0.052 0.484
Ir7 0.969 0.368 0.707
Os1 0.000 0.000 0.000

Its volume is 14.06 Å³ per atom. The value obtained for the density is 17160 kg/m3. The energy comes out at -9.224 eV/atom. For the formation energy, the calculation gives 0.0889 eV per atom.

---

No. 3
CrIr2Os: optimized geometry, PBE.

Cell: 8.895 8.895 8.895 Å, 17.52 17.52 17.52°
Fractional positions:
Ir1 0.004 0.004 0.004
Ir2 0.249 0.249 0.249
Os1 0.497 0.497 0.497
Cr1 0.750 0.750 0.750

Its volume is 13.92 Å³ per atom. The value obtained for the density is 18693 kg/m3. The energy comes out at -9.608 eV/atom. For the formation energy, the calculation gives 0.0355 eV per atom.

---

No. 4
CrIr2Os: optimized geometry, PBE.

Cell: 4.671 4.671 2.713 Å, 90.00 90.00 109.38°
Fractional positions:
Os1 0.500 0.000 0.500
Ir1 0.000 0.000 0.000
Ir2 0.500 0.500 0.000
Cr1 0.000 0.500 0.500

Its volume is 13.96 Å³ per atom. The value obtained for the density is 18642 kg/m3. The energy comes out at -9.736 eV/atom. For the formation energy, the calculation gives -0.0924 eV per atom.

---

No. 5
CrIrOs3: optimized geometry, PBE.

Cell: 4.377 4.377 4.377 Å, 90.00 90.00 90.00°
Fractional positions:
Os1 0.000 0.500 0.000
Os2 0.500 0.000 0.000
Os3 0.000 0.000 0.500
Ir1 0.500 0.500 0.500
Cr1 0.000 0.000 0.000

Its volume is 16.77 Å³ per atom. The value obtained for the density is 16136 kg/m3. The energy comes out at -8.565 eV/atom. For the formation energy, the calculation gives 1.8694 eV per atom.

---

No. 6
Cr2IrOs: optimized geometry, PBE.

Cell: 2.643 2.643 8.509 Å, 90.00 90.00 115.35°
Fractional positions:
Cr1 0.000 0.000 0.015
Cr2 0.500 0.500 0.233
Os1 0.500 0.500 0.768
Ir1 0.000 0.000 0.484

Its volume is 13.42 Å³ per atom. The value obtained for the density is 15043 kg/m3. The energy comes out at -9.546 eV/atom. For the formation energy, the calculation gives 0.2883 eV per atom.

---

No. 7
CrIr2Os: optimized geometry, PBE.

Cell: 3.248 3.248 5.434 Å, 90.00 90.00 90.00°
Fractional positions:
Ir1 0.000 0.000 0.988
Ir2 0.500 0.500 0.250
Cr1 0.500 0.500 0.756
Os1 0.000 0.000 0.506

Its volume is 14.33 Å³ per atom. The value obtained for the density is 18149 kg/m3. The energy comes out at -9.325 eV/atom. For the formation energy, the calculation gives 0.3184 eV per atom.

---

No. 8
CrIr2Os: optimized geometry, PBE.

Cell: 4.681 4.681 4.683 Å, 132.03 132.03 70.15°
Fractional positions:
Ir1 0.000 0.000 0.000
Ir2 0.500 0.500 0.000
Os1 0.750 0.250 0.500
Cr1 0.250 0.750 0.500

Its volume is 13.87 Å³ per atom. The value obtained for the density is 18751 kg/m3. The energy comes out at -9.753 eV/atom. For the formation energy, the calculation gives -0.1096 eV per atom.